1.
Material: Ac2Mg5Ge3
Method: DFT, PBE-GGA
State: relaxed

The structure in POSCAR format:
```
Ac2Mg5Ge3
1.0
4.796 0.000 0.000
0.000 4.796 0.000
0.000 0.000 11.327
Ac Mg Ge
2 5 3
Direct
0.000 0.500 0.225
0.500 0.000 0.775
0.000 0.000 0.500
0.000 0.500 0.653
0.500 0.000 0.347
0.500 0.500 0.000
0.500 0.500 0.500
0.000 0.000 0.000
0.000 0.500 0.889
0.500 0.000 0.111
```

Summary:
* energy of formation from the pure elements: -5.11 kcal/mol of atoms

2.
Material: CsNaMgCd2
Method: DFT, PBE-GGA
State: relaxed

The structure in POSCAR format:
```
CsNaMgCd2
1.0
5.673 0.000 0.000
0.000 5.673 0.000
0.000 0.000 6.116
Cs Na Mg Cd
1 1 1 2
Direct
0.000 0.000 0.000
0.500 0.500 0.000
0.500 0.500 0.500
0.000 0.500 0.500
0.500 0.000 0.500
```

Summary:
* energy of formation from the pure elements: 2.34 kcal/mol of atoms

3.
Material: NaGa3Fe
Method: DFT, PBE-GGA
State: relaxed

The structure in POSCAR format:
```
NaGa3Fe
1.0
4.631 0.000 0.000
0.000 4.631 0.000
0.000 0.000 4.631
Na Ga Fe
1 3 1
Direct
0.000 0.000 0.000
0.000 0.500 0.500
0.500 0.000 0.500
0.500 0.500 0.000
0.500 0.500 0.500
```

Summary:
* energy of formation from the pure elements: -3.64 kcal/mol of atoms
* ΔE to the lowest computed polymorph: 0.0 kJ/mol of atoms

4.
Material: LaZrTc2
Method: DFT, PBE-GGA
State: relaxed

The structure in POSCAR format:
```
LaZrTc2
1.0
1.561 0.901 9.811
-1.561 0.901 9.811
0.000 -1.802 9.811
La Zr Tc
1 1 2
Direct
0.000 0.000 0.000
0.228 0.228 0.228
0.485 0.485 0.485
0.757 0.757 0.757
```

Summary:
* energy of formation from the pure elements: 10.10 kcal/mol of atoms
* ΔE to the lowest computed polymorph: 36.1 kJ/mol of atoms

5.
Material: CsLaPt3
Method: DFT, PBE-GGA
State: relaxed

The structure in POSCAR format:
```
CsLaPt3
1.0
5.531 0.000 0.000
0.000 5.531 0.000
0.000 0.000 5.531
Cs La Pt
1 1 3
Direct
0.000 0.000 0.000
0.500 0.500 0.500
0.000 0.500 0.500
0.500 0.000 0.500
0.500 0.500 0.000
```

Summary:
* energy of formation from the pure elements: 8.14 kcal/mol of atoms
* ΔE to the lowest computed polymorph: 0.0 kJ/mol of atoms

6.
Material: SrSb4As
Method: DFT, PBE-GGA
State: relaxed

The structure in POSCAR format:
```
SrSb4As
1.0
0.000 4.435 4.435
4.435 0.000 4.435
4.435 4.435 0.000
Sr Sb As
1 4 1
Direct
0.000 0.000 0.000
0.376 0.376 0.376
0.376 0.376 0.873
0.376 0.873 0.376
0.873 0.376 0.376
0.750 0.750 0.750
```

Summary:
* formation energy without anion corrections: -0.021 eV per atom

Looking at DOS at the Fermi energy for the records above, in order, we have 5.3; 3.2; 0.5; 4.7; 10.0; 3.2 states/eV/f.u..